1.
8
Lattice="4.386 0.000 0.000 0.000 4.386 0.000 0.000 0.000 9.639" Properties=species:S:1:pos:R:3 comment="BaCdPF (PBE, optimized geometry)" spacegroup="P4/nmm, No. 129" e_tot_ev_per_cell=-34.7 vol_a3_per_atom=23.17 pbc="T T T"
Ba 1.096 1.096 1.540
Ba 3.289 3.289 8.099
Cd 1.096 3.289 4.819
Cd 3.289 1.096 4.819
P 1.096 1.096 6.448
P 3.289 3.289 3.191
F 1.096 3.289 0.000
F 3.289 1.096 0.000

---

2.
4
Lattice="-1.885 1.885 4.011 1.885 -1.885 4.011 1.885 1.885 -4.011" Properties=species:S:1:pos:R:3 comment="Al2ZnOs (PBE, optimized geometry)" n_ef_per_ev_fu=1.8 spacegroup="I-4m2, No. 119" e_tot_ev_per_cell=-20.9 vol_a3_per_atom=14.25 pbc="T T T"
Al 0.000 0.000 0.000
Al 0.000 1.885 2.005
Zn 1.885 0.000 2.005
Os 0.000 0.000 4.011